Record 1
Material: Pm3NdTm
Method: DFT, PBE-GGA
State: optimized geometry

Properties
Formation enthalpy at 0 K   0.189 eV per atom
Total magnetic moment   0.00 μB/f.u.

Cell and atoms, written as CIF:
```
data_Pm3NdTm
_chemical_formula_sum 'Pm12 Nd4 Tm4'
_space_group_name_H-M_alt 'C m c m'
_space_group_IT_number 63
_space_group_name_Hall '-C 2c 2'
_cell_length_a 5.917
_cell_length_b 9.647
_cell_length_c 12.022
_cell_angle_alpha 90.00
_cell_angle_beta 90.00
_cell_angle_gamma 90.00
loop_
_atom_site_label
_atom_site_type_symbol
_atom_site_fract_x
_atom_site_fract_y
_atom_site_fract_z
_atom_site_occupancy
Pm1 Pm 0.000 0.151 0.093 1
Pm2 Pm 0.000 0.201 0.750 1
Nd1 Nd 0.000 0.451 0.250 1
Tm1 Tm 0.000 0.500 0.000 1
```


Record 2
Material: PmNd7Tm2
Method: DFT, PBE-GGA
State: optimized geometry

Properties
Formation enthalpy at 0 K   0.207 eV per atom
Total magnetic moment   0.00 μB/f.u.

Cell and atoms, written as CIF:
```
data_PmNd7Tm2
_chemical_formula_sum 'Pm1 Nd7 Tm2'
_space_group_name_H-M_alt 'P -1'
_space_group_IT_number 2
_space_group_name_Hall '-P 1'
_cell_length_a 5.636
_cell_length_b 8.503
_cell_length_c 8.559
_cell_angle_alpha 114.39
_cell_angle_beta 100.73
_cell_angle_gamma 100.50
loop_
_atom_site_label
_atom_site_type_symbol
_atom_site_fract_x
_atom_site_fract_y
_atom_site_fract_z
_atom_site_occupancy
Pm1 Pm 0.000 0.000 0.000 1
Nd1 Nd 0.000 0.500 0.500 1
Nd2 Nd 0.328 0.482 0.223 1
Nd3 Nd 0.333 0.726 0.982 1
Nd4 Nd 0.498 0.119 0.383 1
Tm1 Tm 0.087 0.214 0.715 1
```


Record 3
Material: Pm2NdTm9
Method: DFT, PBE-GGA
State: optimized geometry

Properties
Formation enthalpy at 0 K   0.060 eV per atom
Total magnetic moment   0.00 μB/f.u.

Cell and atoms, written as CIF:
```
data_Pm2NdTm9
_chemical_formula_sum 'Pm2 Nd1 Tm9'
_space_group_name_H-M_alt 'P 6/m m m'
_space_group_IT_number 191
_space_group_name_Hall '-P 6 2'
_cell_length_a 11.1594
_cell_length_b 11.1594
_cell_length_c 3.5014
_cell_angle_alpha 90.00
_cell_angle_beta 90.00
_cell_angle_gamma 120.00
loop_
_atom_site_label
_atom_site_type_symbol
_atom_site_fract_x
_atom_site_fract_y
_atom_site_fract_z
_atom_site_occupancy
Pm1 Pm 0.3333 0.6667 0.0000 1
Nd1 Nd 0.0000 0.0000 0.0000 1
Tm1 Tm 0.0000 0.5000 0.0000 1
Tm2 Tm 0.1766 0.3533 0.5000 1
```


Record 4
Material: PmNd3Tm3
Method: DFT, PBE-GGA
State: optimized geometry

Properties
Formation enthalpy at 0 K   0.192 eV per atom
Total magnetic moment   0.00 μB/f.u.

Cell and atoms, written as CIF:
```
data_PmNd3Tm3
_chemical_formula_sum 'Pm6 Nd18 Tm18'
_space_group_name_H-M_alt 'R -3'
_space_group_IT_number 148
_space_group_name_Hall '-R 3'
_cell_length_a 8.6875
_cell_length_b 8.6875
_cell_length_c 22.0888
_cell_angle_alpha 90.00
_cell_angle_beta 90.00
_cell_angle_gamma 120.00
loop_
_atom_site_label
_atom_site_type_symbol
_atom_site_fract_x
_atom_site_fract_y
_atom_site_fract_z
_atom_site_occupancy
Pm1 Pm 0.0000 0.0000 0.1564 1
Nd1 Nd 0.0467 0.4472 0.3813 1
Tm1 Tm 0.0053 0.2303 0.5580 1
```


Record 5
Material: Pm3Nd4Tm4
Method: DFT, PBE-GGA
State: optimized geometry

Properties
Formation enthalpy at 0 K   0.152 eV per atom
Total magnetic moment   0.00 μB/f.u.

Cell and atoms, written as CIF:
```
data_Pm3Nd4Tm4
_chemical_formula_sum 'Pm6 Nd8 Tm8'
_space_group_name_H-M_alt 'A m m 2'
_space_group_IT_number 38
_space_group_name_Hall 'A 2 -2'
_cell_length_a 10.741
_cell_length_b 5.728
_cell_length_c 12.066
_cell_angle_alpha 90.00
_cell_angle_beta 90.00
_cell_angle_gamma 90.00
loop_
_atom_site_label
_atom_site_type_symbol
_atom_site_fract_x
_atom_site_fract_y
_atom_site_fract_z
_atom_site_occupancy
Pm1 Pm 0.000 0.000 0.000 1
Pm2 Pm 0.289 0.000 0.159 1
Nd1 Nd 0.000 0.000 0.707 1
Nd2 Nd 0.212 0.000 0.500 1
Nd3 Nd 0.500 0.000 0.629 1
Tm1 Tm 0.000 0.000 0.303 1
Tm2 Tm 0.304 0.000 0.852 1
Tm3 Tm 0.500 0.000 0.356 1
```


Record 6
Material: Pm8Nd3Tm2
Method: DFT, PBE-GGA
State: optimized geometry

Properties
Formation enthalpy at 0 K   0.217 eV per atom
Total magnetic moment   0.00 μB/f.u.

Cell and atoms, written as CIF:
```
data_Pm8Nd3Tm2
_chemical_formula_sum 'Pm16 Nd6 Tm4'
_space_group_name_H-M_alt 'C 1 2/m 1'
_space_group_IT_number 12
_space_group_name_Hall '-C 2y'
_cell_length_a 20.334
_cell_length_b 7.760
_cell_length_c 5.796
_cell_angle_alpha 90.00
_cell_angle_beta 90.04
_cell_angle_gamma 90.00
loop_
_atom_site_label
_atom_site_type_symbol
_atom_site_fract_x
_atom_site_fract_y
_atom_site_fract_z
_atom_site_occupancy
Pm1 Pm 0.109 0.208 0.000 1
Pm2 Pm 0.135 0.500 0.499 1
Pm3 Pm 0.175 0.000 0.501 1
Nd1 Nd 0.000 0.211 0.500 1
Nd2 Nd 0.000 0.500 0.000 1
Tm1 Tm 0.241 0.500 0.998 1
```


Record 7
Material: PmNdTm2
Method: DFT, PBE-GGA
State: optimized geometry

Properties
Formation enthalpy at 0 K   0.024 eV per atom
Total magnetic moment   0.00 μB/f.u.

Cell and atoms, written as CIF:
```
data_PmNdTm2
_chemical_formula_sum 'Pm1 Nd1 Tm2'
_space_group_name_H-M_alt 'P 4/m m m'
_space_group_IT_number 123
_space_group_name_Hall '-P 4 2'
_cell_length_a 3.594
_cell_length_b 3.594
_cell_length_c 10.013
_cell_angle_alpha 90.00
_cell_angle_beta 90.00
_cell_angle_gamma 90.00
loop_
_atom_site_label
_atom_site_type_symbol
_atom_site_fract_x
_atom_site_fract_y
_atom_site_fract_z
_atom_site_occupancy
Pm1 Pm 0.000 0.000 0.000 1
Nd1 Nd 0.000 0.000 0.500 1
Tm1 Tm 0.500 0.500 0.249 1
```


Record 8
Material: Pm12NdTm6
Method: DFT, PBE-GGA
State: optimized geometry

Properties
Formation enthalpy at 0 K   0.193 eV per atom
Total magnetic moment   0.00 μB/f.u.

Cell and atoms, written as CIF:
```
data_Pm12NdTm6
_chemical_formula_sum 'Pm36 Nd3 Tm18'
_space_group_name_H-M_alt 'R -3 m'
_space_group_IT_number 166
_space_group_name_Hall '-R 3 2"'
_cell_length_a 13.3795
_cell_length_b 13.3795
_cell_length_c 12.6272
_cell_angle_alpha 90.00
_cell_angle_beta 90.00
_cell_angle_gamma 120.00
loop_
_atom_site_label
_atom_site_type_symbol
_atom_site_fract_x
_atom_site_fract_y
_atom_site_fract_z
_atom_site_occupancy
Pm1 Pm 0.0000 0.2582 0.0000 1
Pm2 Pm 0.0908 0.1816 0.7632 1
Nd1 Nd 0.0000 0.0000 0.5000 1
Tm1 Tm 0.0416 0.5208 0.1212 1
```


Number 1: uncorrected energy -0.3315 Ry/atom. Number 2: uncorrected energy -0.3307 Ry/atom. Number 3: uncorrected energy -0.3295 Ry/atom. Number 4: uncorrected energy -0.3268 Ry/atom. Number 5: uncorrected energy -0.3310 Ry/atom. Number 6: uncorrected energy -0.3303 Ry/atom. Number 7: uncorrected energy -0.3375 Ry/atom. Number 8: uncorrected energy -0.3286 Ry/atom.